Entry 1:
PBE LaCu2AsO, relaxed; N(E_F) = 1.71 states/eV per atom; energy relative to the elements, uncorrected = 753 kJ/mol of formula units; density = 3.7 g cm⁻³; symmetry = P4/mmm (123)
1.0
-2.163 1.205 -4.686
-5.193 0.025 2.403
0.526 5.161 1.084
As O Cu La
1 1 2 1
direct
0.000 0.500 0.000
0.500 0.500 0.500
0.000 0.000 0.500
0.500 0.000 0.000
0.000 0.000 0.000

Entry 2:
PBE ZnCr2Ag, relaxed; N(E_F) = 0.52 states/eV per atom; density = 7.6 g cm⁻³; formation energy = 287 meV per atom; symmetry = I-4m2 (119)
1.0
-1.691 -0.194 4.503
2.152 -3.597 2.368
1.772 3.638 -2.608
Ag Cr Zn
1 2 1
direct
0.750 0.250 0.500
0.000 0.000 0.000
0.250 0.750 0.500
0.500 0.500 0.000

Entry 3:
PBE SmI2, relaxed; N(E_F) = 0.72 states/eV per atom; energy relative to the elements, uncorrected = -321 kJ/mol of formula units; density = 6.2 g cm⁻³; symmetry = Pbca (61)
1.0
-4.222 3.100 -5.216
-6.602 -3.965 2.988
-2.639 10.878 8.601
Sm I
8 16
direct
0.674 0.550 0.905
0.174 0.950 0.905
0.674 0.050 0.595
0.826 0.550 0.405
0.826 0.050 0.095
0.326 0.450 0.095
0.326 0.950 0.405
0.174 0.450 0.595
0.200 0.615 0.296
0.700 0.885 0.296
0.800 0.385 0.704
0.800 0.885 0.796
0.300 0.615 0.796
0.983 0.707 0.046
0.983 0.207 0.454
0.017 0.793 0.546
0.200 0.115 0.204
0.517 0.207 0.954
0.700 0.385 0.204
0.517 0.707 0.546
0.300 0.115 0.704
0.483 0.793 0.046
0.017 0.293 0.954
0.483 0.293 0.454

Entry 4:
PBE AgOs2Pt, relaxed; N(E_F) = 0.84 states/eV per atom; density = 17.8 g cm⁻³; formation energy = 556 meV per atom; symmetry = Imm2 (44)
1.0
-2.090 -3.965 3.427
-1.226 -5.191 -1.839
3.635 4.183 1.058
Os Ag Pt
2 1 1
direct
0.023 0.023 0.000
0.236 0.736 0.500
0.758 0.258 0.500
0.484 0.484 0.000

Entry 5:
PBE Ho3Sc4Co4, relaxed; N(E_F) = 0.73 states/eV per atom; density = 6.9 g cm⁻³; formation energy = -199 meV per atom; symmetry = Immm (71)
1.0
3.541 0.000 0.000
0.000 8.393 0.000
-1.770 -4.196 7.321
Ho Sc Co
3 4 4
direct
0.108 0.108 0.216
0.892 0.892 0.784
0.000 0.500 0.000
0.333 0.148 0.665
0.667 0.482 0.335
0.667 0.852 0.335
0.333 0.518 0.665
0.241 0.741 0.481
0.759 0.259 0.519
0.500 0.788 0.000
0.500 0.212 0.000

Entry 6:
PBE HfCr2SiC, relaxed; N(E_F) = 0.51 states/eV per atom; energy relative to the elements, uncorrected = -187 kJ/mol of formula units; density = 8.4 g cm⁻³; symmetry = Cmcm (63)
1.0
-0.611 -0.693 3.234
3.160 -4.138 -2.039
5.888 3.570 1.878
Hf Cr Si C
2 4 2 2
direct
0.465 0.931 0.750
0.535 0.069 0.250
0.170 0.340 0.943
0.830 0.660 0.057
0.170 0.340 0.557
0.830 0.660 0.443
0.748 0.496 0.750
0.252 0.504 0.250
0.000 0.000 0.000
0.000 0.000 0.500

Entry 7:
PBE SiSb2Ru, relaxed; N(E_F) = 0.77 states/eV per atom; energy relative to the elements, uncorrected = 172 kJ/mol of formula units; density = 8.0 g cm⁻³; symmetry = C2/m (12)
1.0
6.686 0.026 0.064
-2.813 4.065 -0.037
1.061 1.167 2.850
Ru Sb Si
1 2 1
direct
0.500 0.500 0.000
0.000 0.000 0.000
0.500 0.000 0.500
0.000 0.500 0.500

Entry 8:
PBE AcPu2MoN4, relaxed; N(E_F) = 1.32 states/eV per atom; energy relative to the elements, uncorrected = -733 kJ/mol of formula units; density = 11.4 g cm⁻³; symmetry = Cmcm (63)
1.0
-0.868 2.837 1.865
2.239 -4.194 4.127
10.964 4.355 -1.522
Ac Pu Mo N
2 4 2 8
direct
0.096 0.192 0.750
0.904 0.808 0.250
0.369 0.738 0.544
0.631 0.262 0.044
0.631 0.262 0.456
0.369 0.738 0.956
0.836 0.673 0.750
0.164 0.327 0.250
0.258 0.516 0.113
0.742 0.484 0.613
0.742 0.484 0.887
0.258 0.516 0.387
0.000 0.000 0.500
0.000 0.000 0.000
0.434 0.868 0.750
0.566 0.132 0.250